# 1
An optimized crystal structure of Zr4Tl3In, computed with GGA-PBE.

* calculated formation energy: -138 meV/atom
* theoretical density: 10.0 g cm⁻³
* Fermi-level density of states: 5.48 states/eV per cell
* volume: 182 Å³ per cell
* crystal system: tetragonal

CIF file:
```
data_Zr4Tl3In
_chemical_formula_sum 'Zr4 Tl3 In1'
_cell_length_a 3.202
_cell_length_b 3.202
_cell_length_c 17.717
_cell_angle_alpha 90.00
_cell_angle_beta 90.00
_cell_angle_gamma 90.00
_symmetry_space_group_name_H-M 'P 4/m m m'
_symmetry_Int_Tables_number 123
_symmetry_space_group_name_Hall '-P 4 2'
loop_
_atom_site_label
_atom_site_type_symbol
_atom_site_fract_x
_atom_site_fract_y
_atom_site_fract_z
Zr1 Zr 0.000 0.000 0.122
Zr2 Zr 0.000 0.000 0.375
Tl1 Tl 0.500 0.500 0.249
Tl2 Tl 0.500 0.500 0.500
In1 In 0.500 0.500 0.000
```



# 2
An optimized crystal structure of LiZn2Pt, computed with GGA-PBE.

* calculated formation energy: -409 meV/atom
* theoretical density: 9.6 g cm⁻³
* Fermi-level density of states: 0.98 states/eV per cell
* volume: 58 Å³ per cell
* crystal system: tetragonal

CIF file:
```
data_LiZn2Pt
_chemical_formula_sum 'Li1 Zn2 Pt1'
_cell_length_a 3.229
_cell_length_b 3.229
_cell_length_c 5.548
_cell_angle_alpha 90.00
_cell_angle_beta 90.00
_cell_angle_gamma 90.00
_symmetry_space_group_name_H-M 'P 4/m m m'
_symmetry_Int_Tables_number 123
_symmetry_space_group_name_Hall '-P 4 2'
loop_
_atom_site_label
_atom_site_type_symbol
_atom_site_fract_x
_atom_site_fract_y
_atom_site_fract_z
Li1 Li 0.000 0.000 0.000
Zn1 Zn 0.500 0.500 0.250
Pt1 Pt 0.000 0.000 0.500
```